No. 1
Computed, not measured: crystalline Eu2ScIn at its relaxed geometry at the PBE level of DFT.

Geometry as CIF:
```
data_Eu2ScIn
_cell_length_a 4.8399
_cell_length_b 4.8399
_cell_length_c 5.0305
_cell_angle_alpha 90.00
_cell_angle_beta 90.00
_cell_angle_gamma 90.00
_symmetry_space_group_name_H-M 'P 4/m m m'
_symmetry_Int_Tables_number 123
_symmetry_space_group_name_Hall '-P 4 2'
loop_
_atom_site_label
_atom_site_type_symbol
_atom_site_fract_x
_atom_site_fract_y
_atom_site_fract_z
Eu1 Eu 0.0000 0.5000 0.0000
Sc1 Sc 0.0000 0.0000 0.5000
In1 In 0.5000 0.5000 0.5000
```

## Properties
- spin magnetization (μB/f.u.) = 14.328
- total energy (eV/atom) = -7.55
- density of states at the Fermi level (states/eV per atom) = 1.122
- energy above the most stable polymorph in this dataset (meV/atom) = 0.0

***

No. 2
Computed, not measured: crystalline EuScIn at its relaxed geometry at the PBE level of DFT.

Geometry as CIF:
```
data_EuScIn
_cell_length_a 5.2312
_cell_length_b 5.2312
_cell_length_c 3.6012
_cell_angle_alpha 90.00
_cell_angle_beta 90.00
_cell_angle_gamma 120.00
_symmetry_space_group_name_H-M 'P 3 m 1'
_symmetry_Int_Tables_number 156
_symmetry_space_group_name_Hall 'P 3 -2"'
loop_
_atom_site_label
_atom_site_type_symbol
_atom_site_fract_x
_atom_site_fract_y
_atom_site_fract_z
Eu1 Eu 0.0000 0.0000 0.0000
Sc1 Sc 0.6667 0.3333 0.5385
In1 In 0.3333 0.6667 0.4480
```

## Properties
- spin magnetization (μB/f.u.) = 7.275
- total energy (eV/atom) = -6.64
- density of states at the Fermi level (states/eV per atom) = 0.992
- energy above the most stable polymorph in this dataset (meV/atom) = 24.4

***

No. 3
Computed, not measured: crystalline EuScIn2 at its relaxed geometry at the PBE level of DFT.

Geometry as CIF:
```
data_EuScIn2
_cell_length_a 7.4885
_cell_length_b 7.4885
_cell_length_c 7.4885
_cell_angle_alpha 90.00
_cell_angle_beta 90.00
_cell_angle_gamma 90.00
_symmetry_space_group_name_H-M 'F m -3 m'
_symmetry_Int_Tables_number 225
_symmetry_space_group_name_Hall '-F 4 2 3'
loop_
_atom_site_label
_atom_site_type_symbol
_atom_site_fract_x
_atom_site_fract_y
_atom_site_fract_z
Eu1 Eu 0.0000 0.0000 0.0000
Sc1 Sc 0.0000 0.0000 0.5000
In1 In 0.2500 0.2500 0.2500
```

## Properties
- spin magnetization (μB/f.u.) = 7.162
- total energy (eV/atom) = -5.91
- density of states at the Fermi level (states/eV per atom) = 1.748
- energy above the most stable polymorph in this dataset (meV/atom) = 53.9